[1]
RbCd2SnPb2 (PBE, relaxed); energy = -2.378 eV per atom; DOS at the Fermi energy = 4.23 states/eV/cell; formation enthalpy at 0 K = -0.009 eV per atom; SG = Pnnm (58)
1.0
8.8341 0.0000 0.0000
0.0000 10.0048 0.0000
0.0000 0.0000 4.5067
Rb Cd Sn Pb
2 4 2 4
direct
0.0000 0.0000 0.0000
0.5000 0.5000 0.5000
0.1797 0.3457 0.0000
0.3203 0.8457 0.5000
0.6797 0.1543 0.5000
0.8203 0.6543 0.0000
0.0000 0.5000 0.5000
0.5000 0.0000 0.0000
0.1871 0.6620 0.0000
0.3129 0.1620 0.5000
0.6871 0.8380 0.5000
0.8129 0.3380 0.0000

=====

[2]
RbSrCdPb (PBE, relaxed); energy = -1.907 eV per atom; DOS at the Fermi energy = 3.39 states/eV/cell; formation enthalpy at 0 K = -0.089 eV per atom; SG = F-43m (216)
1.0
0.0000 4.1452 4.1452
4.1452 0.0000 4.1452
4.1452 4.1452 0.0000
Rb Sr Cd Pb
1 1 1 1
direct
0.0000 0.0000 0.0000
0.2500 0.2500 0.2500
0.7500 0.7500 0.7500
0.5000 0.5000 0.5000